Record 1
Below is ZnGaSn2 after structural relaxation, with properties calculated at the PBE level.

## Properties
* ΔE_f: 0.09 eV per atom
* Fermi-level density of states: 1.25 states/eV per cell
* energy above the lowest structure with this stoichiometry: 0 meV per atom
* spin magnetization: 0.00 μB per cell

Cell lengths 3.807, 4.883, 4.883 Å; angles 90.00, 90.00, 90.00 degrees
Element x y z (fractional)
Zn 0.500 0.500 0.500
Sn 0.000 0.000 0.500
Sn 0.000 0.500 0.000
Ga 0.500 0.000 0.000


Record 2
Below is Sm3Dy2ThSe6 after structural relaxation, with properties calculated at the PBE level.

## Properties
* Fermi-level density of states: 6.65 states/eV per cell
* spin magnetization: 0.00 μB per cell
* uncorrected formation energy: -1741 meV per atom

Cell lengths 4.128, 8.341, 9.241 Å; angles 102.09, 102.91, 90.00 degrees
Element x y z (fractional)
Se 0.329 0.908 0.659
Se 0.004 0.257 0.008
Se 0.330 0.421 0.660
Se 0.996 0.743 0.992
Se 0.670 0.579 0.340
Se 0.671 0.092 0.341
Sm 0.500 0.500 0.000
Sm 0.161 0.834 0.323
Sm 0.839 0.166 0.677
Dy 0.165 0.330 0.330
Dy 0.835 0.670 0.670
Th 0.500 0.000 0.000


Record 3
Below is AsPdF3 after structural relaxation, with properties calculated at the PBE level.

## Properties
* Fermi-level density of states: 5.84 states/eV per cell
* energy above the lowest structure with this stoichiometry: 415 meV per atom
* spin magnetization: 1.98 μB per cell
* uncorrected formation energy: -531 meV per atom

Cell lengths 4.282, 4.282, 4.282 Å; angles 90.00, 90.00, 90.00 degrees
Each line ends with the local moment (μB).
Element x y z (fractional)
F 0.000 0.500 0.000  0.04
F 0.000 0.000 0.500  0.10
F 0.500 0.000 0.000  0.01
Pd 0.000 0.000 0.000  0.00
As 0.500 0.500 0.500  0.91


Record 4
Below is La5Pb2N after structural relaxation, with properties calculated at the PBE level.

## Properties
* Fermi-level density of states: 21.10 states/eV per cell
* energy above the lowest structure with this stoichiometry: 403 meV per atom
* spin magnetization: 1.15 μB per cell
* uncorrected formation energy: -301 meV per atom

Cell lengths 6.017, 8.614, 12.256 Å; angles 90.00, 90.00, 110.44 degrees
Each line ends with the local moment (μB).
Element x y z (fractional)
La 0.072 0.143 0.377  0.07
La 0.290 0.580 0.094  0.00
La 0.928 0.857 0.877  0.07
La 0.072 0.143 0.123  0.07
La 0.710 0.420 0.906  0.00
La 0.928 0.857 0.623  0.07
La 0.680 0.359 0.250  0.06
La 0.320 0.641 0.750  0.06
La 0.290 0.580 0.406  0.00
La 0.710 0.420 0.594  0.00
N 0.184 0.368 0.250  -0.01
N 0.816 0.632 0.750  -0.01
Pb 0.861 0.723 0.379  0.00
Pb 0.139 0.277 0.621  0.00
Pb 0.861 0.723 0.121  0.00
Pb 0.139 0.277 0.879  0.00


Record 5
Below is CeSm2OsN4 after structural relaxation, with properties calculated at the PBE level.

## Properties
* Fermi-level density of states: 8.38 states/eV per cell
* spin magnetization: 0.00 μB per cell
* uncorrected formation energy: -893 meV per atom

Cell lengths 3.438, 6.158, 11.895 Å; angles 90.00, 90.00, 106.21 degrees
Element x y z (fractional)
Os 0.146 0.292 0.250
Os 0.854 0.708 0.750
N 0.725 0.450 0.636
N 0.275 0.550 0.136
N 0.725 0.450 0.864
N 0.000 0.000 0.000
N 0.000 0.000 0.500
N 0.275 0.550 0.364
N 0.449 0.898 0.750
N 0.551 0.102 0.250
Sm 0.631 0.263 0.045
Sm 0.631 0.263 0.455
Sm 0.369 0.737 0.545
Sm 0.369 0.737 0.955
Ce 0.886 0.773 0.250
Ce 0.114 0.227 0.750


Record 6
Below is Cr2CoSe after structural relaxation, with properties calculated at the PBE level.

## Properties
* Fermi-level density of states: 1.49 states/eV per cell
* spin magnetization: 2.87 μB per cell
* uncorrected formation energy: 303 meV per atom

Cell lengths 4.138, 4.138, 4.138 Å; angles 60.00, 60.00, 60.00 degrees
Each line ends with the local moment (μB).
Element x y z (fractional)
Cr 0.250 0.250 0.250  2.44
Cr 0.000 0.000 0.000  -0.89
Se 0.750 0.750 0.750  0.09
Co 0.500 0.500 0.500  1.12